# 1
# Tm4Fe3Ge4 (GGA-PBE, optimized geometry)
# ΔE_f: -0.14 eV/atom
# Volume: 420.2 Å³ per cell
# DOS(E_F): 18.7 states/eV per cell
# Spin magnetization: 4.63 μB/f.u.
data_Tm4Fe3Ge4
_chemical_formula_sum 'Tm8 Fe6 Ge8'
_space_group_name_H-M_alt 'I m m m'
_space_group_IT_number 71
_space_group_name_Hall '-I 2 2'
_cell_length_a 3.114
_cell_length_b 8.705
_cell_length_c 15.503
_cell_angle_alpha 90.00
_cell_angle_beta 90.00
_cell_angle_gamma 90.00
loop_
_atom_site_label
_atom_site_type_symbol
_atom_site_fract_x
_atom_site_fract_y
_atom_site_fract_z
Tm1 Tm 0.000 0.181 0.153
Fe1 Fe 0.000 0.000 0.408
Fe2 Fe 0.000 0.500 0.500
Ge1 Ge 0.000 0.343 0.000
Ge2 Ge 0.000 0.500 0.217

# 2
# Y2CrFeSe (GGA-PBE, optimized geometry)
# Energy relative to the elements, uncorrected: 111 meV per atom
# Volume: 126.9 Å³ per cell
# DOS(E_F): 3.1 states/eV per cell
# Spin magnetization: 5.97 μB/f.u.
data_Y2CrFeSe
_chemical_formula_sum 'Y2 Cr1 Fe1 Se1'
_space_group_name_H-M_alt 'P 4/m m m'
_space_group_IT_number 123
_space_group_name_Hall '-P 4 2'
_cell_length_a 5.406
_cell_length_b 5.406
_cell_length_c 4.341
_cell_angle_alpha 90.00
_cell_angle_beta 90.00
_cell_angle_gamma 90.00
loop_
_atom_site_label
_atom_site_type_symbol
_atom_site_fract_x
_atom_site_fract_y
_atom_site_fract_z
Y1 Y 0.000 0.500 0.000
Cr1 Cr 0.000 0.000 0.500
Fe1 Fe 0.500 0.500 0.500
Se1 Se 0.500 0.500 0.000

# 3
# PbAu2Br (GGA-PBE, optimized geometry)
# Energy relative to the elements, uncorrected: 231 meV per atom
# Volume: 384.6 Å³ per cell
# ΔE to the lowest computed polymorph: 351 meV/atom
# DOS(E_F): 37.9 states/eV per cell
# Spin magnetization: 0.00 μB/f.u.
data_PbAu2Br
_chemical_formula_sum 'Pb4 Au8 Br4'
_space_group_name_H-M_alt 'F m -3 m'
_space_group_IT_number 225
_space_group_name_Hall '-F 4 2 3'
_cell_length_a 7.272
_cell_length_b 7.272
_cell_length_c 7.272
_cell_angle_alpha 90.00
_cell_angle_beta 90.00
_cell_angle_gamma 90.00
loop_
_atom_site_label
_atom_site_type_symbol
_atom_site_fract_x
_atom_site_fract_y
_atom_site_fract_z
Pb1 Pb 0.000 0.000 0.000
Au1 Au 0.250 0.250 0.250
Br1 Br 0.000 0.000 0.500